## i
This record from Alexandria via LeMat-Bulk describes a geometry-optimized YCr3Cl structure. The functional is PBE-GGA.

The total magnetic moment comes out at 13.5 μB/f.u.

Unit cell a=5.3727 b=5.3727 c=5.3727 alpha=90.00 beta=90.00 gamma=90.00
Site moments in Bohr magnetons follow the coordinates.
Fractional coordinates of all 5 atoms:
Y  0.0000  0.0000  0.0000  0.05
Cr  0.0000  0.5000  0.0000  3.76
Cr  0.0000  0.0000  0.5000  3.54
Cr  0.5000  0.0000  0.0000  4.10
Cl  0.5000  0.5000  0.5000  0.12

---

## ii
This record from Alexandria via LeMat-Bulk describes a geometry-optimized YCr3Cl structure. The functional is PBE-GGA.

The total magnetic moment comes out at 2.8 μB/f.u.

Unit cell a=4.3110 b=4.3110 c=4.3110 alpha=90.00 beta=90.00 gamma=90.00
Site moments in Bohr magnetons follow the coordinates.
Fractional coordinates of all 5 atoms:
Y  0.5000  0.5000  0.5000  -0.01
Cr  0.0000  0.5000  0.0000  1.00
Cr  0.0000  0.0000  0.5000  1.00
Cr  0.5000  0.0000  0.0000  0.79
Cl  0.0000  0.0000  0.0000  -0.03

---

So which one is most stable? That would be ii, about 1262 meV/atom below the next structure.